i | Te3Pt2: relaxed, GGA-PBE.

The value obtained for the magnetic moment is 0.0 μB/f.u.

It has space group R-3c (No. 167, hexagonal axes), with a = 6.9669 Å, b = 6.9669 Å, c = 18.1889 Å, α = 90.00°, β = 90.00° and γ = 120.00°. The distinct sites, in fractional coordinates, are Te at (0.0000, 0.2983, 0.2500) and Pt at (0.0000, 0.0000, 0.1491).

ii | Te3Pt2: relaxed, GGA-PBE.

The value obtained for the magnetic moment is 0.0 μB/f.u.

It has space group C2/m (No. 12), with a = 7.0310 Å, b = 4.0611 Å, c = 17.5167 Å, α = 90.00°, β = 97.62° and γ = 90.00°. The distinct sites, in fractional coordinates, are Te at (0.0369, 0.0000, 0.1120), Te at (0.1419, 0.0000, 0.4238), Te at (0.2436, 0.0000, 0.7345), Pt at (0.0505, 0.5000, 0.6544) and Pt at (0.1528, 0.5000, 0.9579).

iii | Te3Pt2: relaxed, GGA-PBE.

The value obtained for the magnetic moment is 0.0 μB/f.u.

It has space group Fdd2 (No. 43), with a = 11.9002 Å, b = 12.8104 Å, c = 6.9367 Å, α = 90.00°, β = 90.00° and γ = 90.00°. The distinct sites, in fractional coordinates, are Te at (0.0000, 0.0000, 0.0000), Te at (0.0392, 0.3265, 0.9072) and Pt at (0.1179, 0.3010, 0.5479).

On energetic grounds, ii is preferred over the next structure by 90 meV per atom.